(1)
VASP calculation (PBE) on a relaxed structure of Mn2GeHN.

Summary:
E_tot ... -6.998 eV per atom
Crystal system ... tetragonal

Unit cell a=3.7691 b=3.7691 c=3.5735 alpha=90.00 beta=90.00 gamma=90.00
Closest atoms and distances in Å follow each position.
Positions (direct):
Ge 0.0000 0.0000 0.2487  8 Mn 2.51-2.69, 4 H 2.69
Mn 0.0000 0.5000 0.7867  2 N 1.95
Mn 0.5000 0.0000 0.7867  2 N 1.95
N 0.5000 0.5000 0.6469  1 H 1.03
H 0.5000 0.5000 0.3576  1 N 1.03



(2)
VASP calculation (PBE) on a relaxed structure of SrNiPt2.

Summary:
E_tot ... -4.921 eV per atom
Crystal system ... tetragonal

Unit cell a=5.0500 b=5.0500 c=5.0500 alpha=130.30 beta=130.30 gamma=72.93
Closest atoms and distances in Å follow each position.
Positions (direct):
Pt 0.0000 0.0000 0.0000  4 Ni 2.94, 4 Pt 2.94, 4 Sr 3.00
Sr 0.5000 0.5000 0.0000  8 Pt 2.94-3.00, 4 Ni 2.94
Pt 0.2500 0.7500 0.5000  4 Sr 2.94, 4 Pt 2.94, 4 Ni 3.00
Ni 0.7500 0.2500 0.5000  4 Sr 2.94, 8 Pt 2.94-3.00



(3)
VASP calculation (PBE) on a relaxed structure of PmCrBr6.

Summary:
Raw formation energy ... -1212 meV/atom
E_tot ... -4.264 eV per atom
Crystal system ... trigonal

Unit cell a=6.8119 b=6.8125 c=7.3181 alpha=62.27 beta=62.27 gamma=60.01
Closest atoms and distances in Å follow each position.
Positions (direct):
Br 0.0731 0.3864 0.7655  1 Cr 2.54
Br 0.7749 0.0731 0.7655  1 Cr 2.54
Br 0.3865 0.7749 0.7655  1 Cr 2.54
Br 0.6135 0.2251 0.2345  1 Cr 2.54
Cr 0.0000 0.0000 0.0000  6 Br 2.54
Pm 0.5000 0.5000 0.5000  6 Br 2.90
Br 0.2251 0.9269 0.2345  1 Cr 2.54
Br 0.9269 0.6136 0.2345  1 Cr 2.54



(4)
VASP calculation (PBE) on a relaxed structure of NaAgP2.

Summary:
E_tot ... -3.625 eV per atom
Crystal system ... tetragonal

Unit cell a=4.2837 b=4.2837 c=9.4449 alpha=76.89 beta=76.89 gamma=90.00
Closest atoms and distances in Å follow each position.
Positions (direct):
Ag 0.0000 0.0000 0.0000  4 P 2.55
P 0.7376 0.1250 0.2500  2 P 2.44, 2 Ag 2.55
Na 0.2500 0.7500 0.5000  4 P 2.93, 4 Ag 3.03
P 0.0124 0.6250 0.2500  2 P 2.44, 2 Ag 2.55
P 0.8750 0.9876 0.7500  2 P 2.44, 2 Ag 2.55
Na 0.5000 0.5000 0.0000  4 P 2.93, 4 Ag 3.03
Ag 0.7500 0.2500 0.5000  4 P 2.55
P 0.3750 0.2624 0.7500  2 P 2.44, 2 Ag 2.55